Material: KCaAs2Pd4
Method: DFT, PBE
State: relaxed

Values from the calculation:
As for the density of states at the Fermi level: 3.6 states/eV/f.u. Its formation energy is -0.477 eV/atom. As for the theoretical density: 5.770 g cm⁻³.

abc: 4.175 4.175 10.808
angles: 90.00 90.00 90.00
Sites, in units of the cell vectors:
K 0.000 0.000 0.500
Ca 0.000 0.000 0.000
As 0.500 0.500 0.316
As 0.500 0.500 0.684
Pd 0.000 0.500 0.202
Pd 0.500 0.000 0.798
Pd 0.500 0.000 0.202
Pd 0.000 0.500 0.798

Material: K2CaAs2S6
Method: DFT, PBE
State: relaxed

Values from the calculation:
The value obtained for the formation energy without anion corrections is -75 kJ per mole of atoms. As for the theoretical density: 2.479 g cm⁻³.

abc: 7.121 7.091 8.245
angles: 116.50 90.00 120.14
Sites, in units of the cell vectors:
K 0.711 0.421 0.208
K 0.289 0.579 0.792
Ca 0.500 0.000 0.500
As 0.970 0.940 0.825
As 0.030 0.060 0.175
S 0.766 0.532 0.639
S 0.190 0.875 0.193
S 0.315 0.125 0.807
S 0.810 0.125 0.807
S 0.685 0.875 0.193
S 0.234 0.468 0.361

Material: KCaAs2Se
Method: DFT, PBE
State: relaxed

Values from the calculation:
As for the density of states at the Fermi level: 4.7 states/eV/f.u. The value obtained for the formation energy without anion corrections is -5 kJ per mole of atoms. The calculation puts the distance to the lowest polymorph of the same formula at 0.0 kJ per mole of atoms. As for the theoretical density: 3.032 g cm⁻³.

abc: 5.519 5.519 5.537
angles: 90.00 90.00 90.00
Last column: magnetic moment on the atom in μB.
Sites, in units of the cell vectors:
K 0.500 0.500 0.500  0.00
As 0.000 0.500 0.000  0.12
As 0.500 0.000 0.000  0.12
Ca 0.000 0.000 0.000  0.00
Se 0.000 0.000 0.500  0.06

Material: KCaAs2Se
Method: DFT, PBE
State: relaxed

Values from the calculation:
As for the density of states at the Fermi level: 5.8 states/eV/f.u. The value obtained for the formation energy without anion corrections is 54 kJ per mole of atoms. The calculation puts the distance to the lowest polymorph of the same formula at 59.6 kJ per mole of atoms. As for the theoretical density: 3.171 g cm⁻³.

abc: 5.383 5.383 5.566
angles: 90.00 90.00 90.00
Sites, in units of the cell vectors:
K 0.000 0.000 0.000
As 0.000 0.500 0.000
As 0.500 0.000 0.000
Ca 0.500 0.500 0.500
Se 0.000 0.000 0.500

Material: KCa2TcAs
Method: DFT, PBE
State: relaxed

Values from the calculation:
As for the density of states at the Fermi level: 4.6 states/eV/f.u. Its formation energy is 0.151 eV/atom. As for the theoretical density: 3.087 g cm⁻³.

abc: 5.766 4.727 5.766
angles: 90.00 90.00 90.00
Last column: magnetic moment on the atom in μB.
Sites, in units of the cell vectors:
K 0.500 0.500 0.500  0.01
As 0.000 0.000 0.000  -0.01
Ca 0.000 0.000 0.500  0.01
Ca 0.500 0.000 0.000  0.03
Tc 0.000 0.500 0.000  0.64

Material: KCa2VAs
Method: DFT, PBE
State: relaxed

Values from the calculation:
As for the density of states at the Fermi level: 6.9 states/eV/f.u. Its formation energy is 0.553 eV/atom. As for the theoretical density: 2.074 g cm⁻³.

abc: 5.631 6.192 5.631
angles: 90.00 90.00 90.00
Last column: magnetic moment on the atom in μB.
Sites, in units of the cell vectors:
K 0.000 0.500 0.000  -0.01
As 0.000 0.000 0.000  0.00
Ca 0.000 0.000 0.500  0.00
Ca 0.500 0.000 0.000  -0.01
V 0.500 0.500 0.500  0.21

Material: KCaAs2W
Method: DFT, PBE
State: relaxed

Values from the calculation:
As for the density of states at the Fermi level: 4.8 states/eV/f.u. Its formation energy is 1.817 eV/atom. The calculation puts the distance to the lowest polymorph of the same formula at 0.0 kJ per mole of atoms. As for the theoretical density: 4.255 g cm⁻³.

abc: 5.498 5.331 5.498
angles: 90.00 90.00 90.00
Last column: magnetic moment on the atom in μB.
Sites, in units of the cell vectors:
K 0.000 0.000 0.000  0.08
As 0.000 0.000 0.500  -0.13
As 0.500 0.000 0.000  -0.09
Ca 0.500 0.500 0.500  0.03
W 0.000 0.500 0.000  3.27

Material: KCaAs2W
Method: DFT, PBE
State: relaxed

Values from the calculation:
As for the density of states at the Fermi level: 9.6 states/eV/f.u. Its formation energy is 2.082 eV/atom. The calculation puts the distance to the lowest polymorph of the same formula at 25.6 kJ per mole of atoms. As for the theoretical density: 5.156 g cm⁻³.

abc: 5.246 4.832 5.246
angles: 90.00 90.00 90.00
Sites, in units of the cell vectors:
K 0.000 0.000 0.000
As 0.000 0.000 0.500
As 0.500 0.000 0.000
Ca 0.000 0.500 0.000
W 0.500 0.500 0.500

Material: K2CaZnAs2
Method: DFT, PBE
State: relaxed

Values from the calculation:
Its formation energy is -0.640 eV/atom. As for the theoretical density: 3.144 g cm⁻³.

abc: 6.758 6.870 8.988
angles: 112.47 112.08 90.00
Sites, in units of the cell vectors:
K 0.460 0.180 0.360
K 0.540 0.820 0.640
K 0.101 0.320 0.640
K 0.899 0.680 0.360
Ca 0.000 0.750 0.000
Ca 0.000 0.250 0.000
Zn 0.500 0.750 0.000
Zn 0.500 0.250 0.000
As 0.814 0.093 0.185
As 0.371 0.593 0.185
As 0.629 0.407 0.815
As 0.186 0.907 0.815

Material: CaLa4As
Method: DFT, PBE
State: relaxed

Values from the calculation:
As for the density of states at the Fermi level: 9.1 states/eV/f.u. Its formation energy is 0.183 eV/atom. As for the theoretical density: 5.479 g cm⁻³.

abc: 6.599 6.599 6.599
angles: 60.00 60.00 60.00
Sites, in units of the cell vectors:
Ca 0.000 0.000 0.000
La 0.875 0.375 0.375
La 0.375 0.375 0.875
La 0.375 0.875 0.375
La 0.375 0.375 0.375
As 0.750 0.750 0.750

Material: Ca2LaAs
Method: DFT, PBE
State: relaxed

Values from the calculation:
As for the density of states at the Fermi level: 4.4 states/eV/f.u. Its formation energy is -0.539 eV/atom. As for the theoretical density: 3.196 g cm⁻³.

abc: 4.120 6.849 6.856
angles: 52.14 90.00 90.00
Sites, in units of the cell vectors:
As 0.500 0.750 0.750
Ca 0.000 0.913 0.914
Ca 0.000 0.587 0.586
La 0.500 0.250 0.250

Material: Ca2LaAs
Method: DFT, PBE
State: relaxed

Values from the calculation:
As for the density of states at the Fermi level: 3.2 states/eV/f.u. Its formation energy is -0.477 eV/atom. As for the theoretical density: 3.800 g cm⁻³.

abc: 3.681 3.681 9.482
angles: 90.00 90.00 90.13
Sites, in units of the cell vectors:
As 0.500 0.500 0.750
Ca 0.000 0.000 0.923
Ca 0.000 0.000 0.577
La 0.500 0.500 0.250

Q: Among the records above, which one has the highest theoretical density?
A: KCaAs2Pd4